Entry 1:
# LuSnPd2

Crystalline LuSnPd2 at its relaxed geometry (PBE-GGA, the Alexandria database).

Values from the calculation:
The value obtained for the size of the total moment is 0.000 Bohr magnetons per cell.

a b c (Å): 3.6935 4.5690 4.5690
angles (deg): 90.00 90.00 90.00
Closest atoms and distances in Å follow each position.
Element x y z (fractional)
Pd 0.0000 0.0000 0.5000  4 Sn 2.94, 4 Lu 2.94, 4 Pd 3.23
Pd 0.0000 0.5000 0.0000  4 Sn 2.94, 4 Lu 2.94, 4 Pd 3.23
Sn 0.5000 0.5000 0.5000  8 Pd 2.94, 4 Lu 3.23
Lu 0.5000 0.0000 0.0000  8 Pd 2.94, 4 Sn 3.23



Entry 2:
# LuSn2Pd

Crystalline LuSn2Pd at its relaxed geometry (PBE-GGA, the Alexandria database).

Values from the calculation:
The value obtained for the size of the total moment is 0.000 Bohr magnetons per cell.

a b c (Å): 4.3617 4.4627 4.4627
angles (deg): 90.00 90.00 90.00
Closest atoms and distances in Å follow each position.
Element x y z (fractional)
Lu 0.5000 0.5000 0.5000  8 Sn 3.12, 4 Pd 3.16
Sn 0.0000 0.0000 0.5000  4 Pd 3.12, 4 Lu 3.12, 4 Sn 3.16
Pd 0.5000 0.0000 0.0000  8 Sn 3.12, 4 Lu 3.16
Sn 0.0000 0.5000 0.0000  4 Pd 3.12, 4 Lu 3.12, 4 Sn 3.16



Entry 3:
# LuTcSnPd

Crystalline LuTcSnPd at its relaxed geometry (PBE-GGA, the Alexandria database).

Values from the calculation:
The value obtained for the size of the total moment is 0.000 Bohr magnetons per cell.

a b c (Å): 4.6917 4.6917 4.6917
angles (deg): 60.00 60.00 60.00
Closest atoms and distances in Å follow each position.
Element x y z (fractional)
Tc 0.7500 0.7500 0.7500  4 Lu 2.87, 4 Sn 2.87
Pd 0.2500 0.2500 0.2500  4 Sn 2.87, 4 Lu 2.87
Lu 0.0000 0.0000 0.0000  4 Tc 2.87, 4 Pd 2.87
Sn 0.5000 0.5000 0.5000  4 Tc 2.87, 4 Pd 2.87



Entry 4:
# TmLuSnPd

Crystalline TmLuSnPd at its relaxed geometry (PBE-GGA, the Alexandria database).

Values from the calculation:
The value obtained for the size of the total moment is 0.000 Bohr magnetons per cell.

a b c (Å): 5.0732 5.0732 5.0732
angles (deg): 60.00 60.00 60.00
Closest atoms and distances in Å follow each position.
Element x y z (fractional)
Lu 0.0000 0.0000 0.0000  4 Sn 3.11, 4 Pd 3.11
Sn 0.2500 0.2500 0.2500  4 Tm 3.11, 4 Lu 3.11
Tm 0.5000 0.5000 0.5000  4 Sn 3.11, 4 Pd 3.11
Pd 0.7500 0.7500 0.7500  4 Lu 3.11, 4 Tm 3.11



Entry 5:
# LuZnSnPd

Crystalline LuZnSnPd at its relaxed geometry (PBE-GGA, the Alexandria database).

Values from the calculation:
The value obtained for the size of the total moment is 0.000 Bohr magnetons per cell.

a b c (Å): 4.7889 4.7889 4.7889
angles (deg): 60.00 60.00 60.00
Closest atoms and distances in Å follow each position.
Element x y z (fractional)
Pd 0.0000 0.0000 0.0000  4 Sn 2.93, 4 Lu 2.93
Lu 0.7500 0.7500 0.7500  4 Pd 2.93, 4 Zn 2.93
Zn 0.5000 0.5000 0.5000  4 Sn 2.93, 4 Lu 2.93
Sn 0.2500 0.2500 0.2500  4 Pd 2.93, 4 Zn 2.93



Entry 6:
# LuZrSnPd

Crystalline LuZrSnPd at its relaxed geometry (PBE-GGA, the Alexandria database).

Values from the calculation:
The value obtained for the size of the total moment is 1.176 Bohr magnetons per cell.

a b c (Å): 4.9721 4.9721 4.9721
angles (deg): 60.00 60.00 60.00
Closest atoms and distances in Å follow each position.
Element x y z (fractional)
Pd 0.7500 0.7500 0.7500  4 Zr 3.04, 4 Lu 3.04
Lu 0.5000 0.5000 0.5000  4 Sn 3.04, 4 Pd 3.04
Sn 0.2500 0.2500 0.2500  4 Zr 3.04, 4 Lu 3.04
Zr 0.0000 0.0000 0.0000  4 Pd 3.04, 4 Sn 3.04



Entry 7:
# SrLuPd4

Crystalline SrLuPd4 at its relaxed geometry (PBE-GGA, the Alexandria database).

Values from the calculation:
The value obtained for the size of the total moment is 0.000 Bohr magnetons per cell.

a b c (Å): 5.4978 5.4978 5.4978
angles (deg): 60.00 60.00 60.00
Closest atoms and distances in Å follow each position.
Element x y z (fractional)
Sr 0.0000 0.0000 0.0000  12 Pd 3.22, 4 Lu 3.37
Lu 0.2500 0.2500 0.2500  12 Pd 3.22, 4 Sr 3.37
Pd 0.6244 0.6244 0.1267  6 Pd 2.74-2.76
Pd 0.1267 0.6244 0.6244  6 Pd 2.74-2.76
Pd 0.6244 0.6244 0.6244  6 Pd 2.74-2.76
Pd 0.6244 0.1267 0.6244  6 Pd 2.74-2.76



Entry 8:
# SrLuTlPd

Crystalline SrLuTlPd at its relaxed geometry (PBE-GGA, the Alexandria database).

Values from the calculation:
The value obtained for the size of the total moment is 0.000 Bohr magnetons per cell.

a b c (Å): 5.2858 5.2858 5.2858
angles (deg): 60.00 60.00 60.00
Closest atoms and distances in Å follow each position.
Element x y z (fractional)
Tl 0.2500 0.2500 0.2500  4 Sr 3.24, 4 Lu 3.24
Sr 0.0000 0.0000 0.0000  4 Pd 3.24, 4 Tl 3.24
Pd 0.7500 0.7500 0.7500  4 Sr 3.24, 4 Lu 3.24
Lu 0.5000 0.5000 0.5000  4 Tl 3.24, 4 Pd 3.24



Entry 9:
# TbLuPd2

Crystalline TbLuPd2 at its relaxed geometry (PBE-GGA, the Alexandria database).

Values from the calculation:
The value obtained for the size of the total moment is 0.000 Bohr magnetons per cell. The value obtained for the relative energy among the computed polymorphs is 0 meV per atom.

a b c (Å): 4.9299 4.9299 4.9299
angles (deg): 60.00 60.00 60.00
Closest atoms and distances in Å follow each position.
Element x y z (fractional)
Lu 0.5000 0.5000 0.5000  8 Pd 3.02
Tb 0.0000 0.0000 0.0000  8 Pd 3.02
Pd 0.2500 0.2500 0.2500  4 Tb 3.02, 4 Lu 3.02
Pd 0.7500 0.7500 0.7500  4 Lu 3.02, 4 Tb 3.02



Entry 10:
# TbLuPd2

Crystalline TbLuPd2 at its relaxed geometry (PBE-GGA, the Alexandria database).

Values from the calculation:
The value obtained for the size of the total moment is 0.000 Bohr magnetons per cell. The value obtained for the relative energy among the computed polymorphs is 4 meV per atom.

a b c (Å): 3.4157 4.9664 4.9664
angles (deg): 90.00 90.00 90.00
Closest atoms and distances in Å follow each position.
Element x y z (fractional)
Tb 0.5000 0.0000 0.0000  8 Pd 3.01
Pd 0.0000 0.0000 0.5000  4 Lu 3.01, 4 Tb 3.01
Lu 0.5000 0.5000 0.5000  8 Pd 3.01
Pd 0.0000 0.5000 0.0000  4 Lu 3.01, 4 Tb 3.01



Entry 11:
# TbLuPd

Crystalline TbLuPd at its relaxed geometry (PBE-GGA, the Alexandria database).

Values from the calculation:
The value obtained for the size of the total moment is 0.000 Bohr magnetons per cell. The value obtained for the relative energy among the computed polymorphs is 157 meV per atom.

a b c (Å): 3.7645 4.7522 4.7522
angles (deg): 120.00 90.00 90.00
Closest atoms and distances in Å follow each position.
Element x y z (fractional)
Pd 0.2958 0.3333 0.6667  3 Lu 2.85, 3 Tb 3.00
Tb 0.6154 0.6667 0.3333  3 Pd 3.00, 3 Lu 3.27
Lu 0.0887 0.0000 0.0000  3 Pd 2.85



Entry 12:
# TbLu2Pd

Crystalline TbLu2Pd at its relaxed geometry (PBE-GGA, the Alexandria database).

Values from the calculation:
The value obtained for the size of the total moment is 0.000 Bohr magnetons per cell. The value obtained for the relative energy among the computed polymorphs is 141 meV per atom.

a b c (Å): 3.5917 3.5917 9.8718
angles (deg): 79.52 79.52 60.00
Closest atoms and distances in Å follow each position.
Element x y z (fractional)
Tb 0.5000 0.5000 0.5000  6 Lu 3.58, 6 Tb 3.59
Lu 0.7327 0.7327 0.8018  3 Pd 2.82
Lu 0.2673 0.2673 0.1982  3 Pd 2.82
Pd 0.0000 0.0000 0.0000  6 Lu 2.82



Entry 13:
# TbLuPd

Crystalline TbLuPd at its relaxed geometry (PBE-GGA, the Alexandria database).

Values from the calculation:
The value obtained for the size of the total moment is 0.000 Bohr magnetons per cell. The value obtained for the relative energy among the computed polymorphs is 0 meV per atom.

a b c (Å): 3.5159 3.5159 6.5298
angles (deg): 105.62 105.62 90.00
Closest atoms and distances in Å follow each position.
Element x y z (fractional)
Tb 0.0243 0.0243 0.0486  4 Pd 3.07, 1 Lu 3.35
Pd 0.6738 0.6738 0.3475  4 Lu 2.93, 4 Tb 3.07
Lu 0.3019 0.3019 0.6039  4 Pd 2.93



Entry 14:
# TbLuPd

Crystalline TbLuPd at its relaxed geometry (PBE-GGA, the Alexandria database).

Values from the calculation:
The value obtained for the size of the total moment is 0.000 Bohr magnetons per cell. The value obtained for the relative energy among the computed polymorphs is 75 meV per atom.

a b c (Å): 4.8470 4.8470 4.8470
angles (deg): 60.00 60.00 60.00
Closest atoms and distances in Å follow each position.
Element x y z (fractional)
Tb 0.5000 0.5000 0.5000  4 Pd 2.97
Pd 0.2500 0.2500 0.2500  4 Lu 2.97, 4 Tb 2.97
Lu 0.0000 0.0000 0.0000  4 Pd 2.97



Entry 15:
# TbLuPd2

Crystalline TbLuPd2 at its relaxed geometry (PBE-GGA, the Alexandria database).

Values from the calculation:
The value obtained for the size of the total moment is 0.001 Bohr magnetons per cell. The value obtained for the relative energy among the computed polymorphs is 167 meV per atom.

a b c (Å): 4.0678 4.0678 6.9568
angles (deg): 73.00 73.00 60.00
Closest atoms and distances in Å follow each position.
Element x y z (fractional)
Pd 0.7537 0.7537 0.7388  3 Lu 2.82, 3 Tb 2.91
Tb 0.0000 0.0000 0.0000  6 Pd 2.91
Pd 0.2463 0.2463 0.2612  3 Lu 2.82, 3 Tb 2.91
Lu 0.5000 0.5000 0.5000  6 Pd 2.82



Entry 16:
# TbLu2Pd

Crystalline TbLu2Pd at its relaxed geometry (PBE-GGA, the Alexandria database).

Values from the calculation:
The value obtained for the size of the total moment is 0.002 Bohr magnetons per cell. The value obtained for the relative energy among the computed polymorphs is 0 meV per atom.

a b c (Å): 3.5066 3.5066 8.3204
angles (deg): 90.00 90.00 90.00
Closest atoms and distances in Å follow each position.
Element x y z (fractional)
Lu 0.0000 0.0000 0.1978  4 Pd 2.98, 1 Lu 3.29
Lu 0.0000 0.0000 0.8022  4 Pd 2.98, 1 Lu 3.29
Tb 0.5000 0.5000 0.5000  4 Tb 3.51, 8 Lu 3.53
Pd 0.5000 0.5000 0.0000  8 Lu 2.98



Entry 17:
# TbLuTcPd

Crystalline TbLuTcPd at its relaxed geometry (PBE-GGA, the Alexandria database).

Values from the calculation:
The value obtained for the size of the total moment is 0.000 Bohr magnetons per cell.

a b c (Å): 4.8444 4.8444 4.8444
angles (deg): 60.00 60.00 60.00
Closest atoms and distances in Å follow each position.
Element x y z (fractional)
Lu 0.7500 0.7500 0.7500  4 Pd 2.97, 4 Tc 2.97
Pd 0.0000 0.0000 0.0000  4 Lu 2.97, 4 Tb 2.97
Tc 0.5000 0.5000 0.5000  4 Tb 2.97, 4 Lu 2.97
Tb 0.2500 0.2500 0.2500  4 Pd 2.97, 4 Tc 2.97



Entry 18:
# TbLuTlPd

Crystalline TbLuTlPd at its relaxed geometry (PBE-GGA, the Alexandria database).

Values from the calculation:
The value obtained for the size of the total moment is 0.001 Bohr magnetons per cell.

a b c (Å): 5.1370 5.1370 5.1370
angles (deg): 60.00 60.00 60.00
Closest atoms and distances in Å follow each position.
Element x y z (fractional)
Pd 0.0000 0.0000 0.0000  4 Lu 3.15, 4 Tb 3.15
Tl 0.5000 0.5000 0.5000  4 Lu 3.15, 4 Tb 3.15
Tb 0.2500 0.2500 0.2500  4 Tl 3.15, 4 Pd 3.15
Lu 0.7500 0.7500 0.7500  4 Tl 3.15, 4 Pd 3.15



Entry 19:
# LuThTcPd

Crystalline LuThTcPd at its relaxed geometry (PBE-GGA, the Alexandria database).

Values from the calculation:
The value obtained for the size of the total moment is 0.000 Bohr magnetons per cell.

a b c (Å): 4.9500 4.9500 4.9500
angles (deg): 60.00 60.00 60.00
Closest atoms and distances in Å follow each position.
Element x y z (fractional)
Pd 0.0000 0.0000 0.0000  4 Lu 3.03, 4 Th 3.03
Tc 0.5000 0.5000 0.5000  4 Lu 3.03, 4 Th 3.03
Lu 0.7500 0.7500 0.7500  4 Pd 3.03, 4 Tc 3.03
Th 0.2500 0.2500 0.2500  4 Tc 3.03, 4 Pd 3.03



Entry 20:
# TmLuTcPd

Crystalline TmLuTcPd at its relaxed geometry (PBE-GGA, the Alexandria database).

Values from the calculation:
The value obtained for the size of the total moment is 0.000 Bohr magnetons per cell.

a b c (Å): 4.8019 4.8019 4.8019
angles (deg): 60.00 60.00 60.00
Closest atoms and distances in Å follow each position.
Element x y z (fractional)
Tm 0.7500 0.7500 0.7500  4 Tc 2.94, 4 Pd 2.94
Lu 0.2500 0.2500 0.2500  4 Pd 2.94, 4 Tc 2.94
Pd 0.0000 0.0000 0.0000  4 Tm 2.94, 4 Lu 2.94
Tc 0.5000 0.5000 0.5000  4 Tm 2.94, 4 Lu 2.94



What did we get for energy? Answer: -22.04, -19.93, -25.81, -21.17, -17.30, -24.49, -30.96, -15.34, -23.20, -23.18, -15.60, -20.12, -16.07, -15.85, -22.53, -20.68, -26.34, -18.90, -29.38, -26.42 eV/cell, in the order shown.
What did we get for energy of formation? Answer: -0.78, -0.55, -0.43, -0.75, -0.58, -0.56, -0.66, -0.40, -0.92, -0.91, -0.42, -0.31, -0.58, -0.50, -0.75, -0.45, -0.41, -0.55, -0.47, -0.47 eV per atom, in the order shown.